No. 1
Li2AlZn | PBE | relaxed

Cell: 4.402 4.402 4.402 Å, 60.00 60.00 60.00°
Fractional positions:
Zn (0.500, 0.500, 0.500)
Al (0.000, 0.000, 0.000)
Li (0.250, 0.250, 0.250)
Li (0.750, 0.750, 0.750)

***

No. 2
Li2Al2Zn | PBE | relaxed

The energy relative to the lowest polymorph listed for this composition is 0 meV per atom.

Cell: 4.918 5.337 10.312 Å, 41.05 76.33 62.67°
Fractional positions:
Li (0.432, 0.867, 0.944)
Li (0.755, 0.370, 0.444)
Li (0.568, 0.133, 0.056)
Li (0.245, 0.630, 0.556)
Al (0.366, 0.935, 0.654)
Al (0.954, 0.569, 0.844)
Al (0.634, 0.065, 0.346)
Al (0.046, 0.431, 0.156)
Zn (0.150, 0.750, 0.250)
Zn (0.850, 0.250, 0.750)

***

No. 3
Li2Al3Zn3 | PBE | relaxed

The energy relative to the lowest polymorph listed for this composition is 85 meV per atom.

Cell: 5.168 7.471 7.471 Å, 60.00 90.00 90.00°
Fractional positions:
Li (0.000, 0.333, 0.333)
Li (0.500, 0.667, 0.667)
Li (0.000, 0.667, 0.667)
Li (0.500, 0.333, 0.333)
Al (0.750, 0.000, 0.237)
Al (0.750, 0.237, 0.763)
Al (0.750, 0.763, 0.000)
Al (0.250, 0.000, 0.763)
Al (0.250, 0.763, 0.237)
Al (0.250, 0.237, 0.000)
Zn (0.750, 0.000, 0.598)
Zn (0.750, 0.598, 0.402)
Zn (0.750, 0.402, 0.000)
Zn (0.250, 0.000, 0.402)
Zn (0.250, 0.402, 0.598)
Zn (0.250, 0.598, 0.000)

***

No. 4
Li2AlZn8 | PBE | relaxed

The energy relative to the lowest polymorph listed for this composition is 26 meV per atom.

Cell: 4.073 8.206 6.991 Å, 125.94 106.94 90.00°
Fractional positions:
Li (0.139, 0.639, 0.278)
Li (0.861, 0.361, 0.722)
Al (0.500, 0.000, 0.000)
Zn (0.661, 0.905, 0.322)
Zn (0.339, 0.583, 0.678)
Zn (0.188, 0.188, 0.377)
Zn (0.000, 0.222, 0.000)
Zn (0.812, 0.812, 0.623)
Zn (0.661, 0.417, 0.322)
Zn (0.339, 0.095, 0.678)
Zn (0.000, 0.778, 0.000)

***

No. 5
Li2AlZn | PBE | relaxed

Cell: 4.710 4.710 5.039 Å, 83.14 83.14 34.23°
Fractional positions:
Zn (0.502, 0.502, 0.496)
Al (0.246, 0.246, 0.259)
Li (0.993, 0.993, 0.999)
Li (0.759, 0.759, 0.747)

***

No. 6
Li4Al3Zn4 | PBE | relaxed

Cell: 3.646 7.763 7.961 Å, 119.18 103.24 90.00°
Fractional positions:
Li (0.332, 0.154, 0.664)
Li (0.668, 0.490, 0.336)
Li (0.668, 0.846, 0.336)
Li (0.332, 0.510, 0.664)
Al (0.105, 0.105, 0.209)
Al (0.895, 0.895, 0.791)
Al (0.000, 0.500, 0.000)
Zn (0.260, 0.760, 0.520)
Zn (0.740, 0.240, 0.480)
Zn (0.500, 0.810, 0.000)
Zn (0.500, 0.190, 0.000)

***

No. 7
Li2AlZn | PBE | relaxed

Cell: 5.171 5.171 2.684 Å, 83.76 83.76 116.24°
Fractional positions:
Zn (0.500, 0.000, 0.500)
Al (0.000, 0.500, 0.500)
Li (0.000, 0.000, 0.000)
Li (0.500, 0.500, 0.000)

***

No. 8
LiAl2Zn | PBE | relaxed

Cell: 4.478 2.884 5.321 Å, 75.67 90.00 90.00°
Fractional positions:
Zn (0.500, 0.750, 0.750)
Al (0.000, 0.895, 0.985)
Al (0.000, 0.605, 0.515)
Li (0.500, 0.250, 0.250)

***

No. 9
LiAl2Zn | PBE | relaxed

Cell: 4.867 4.867 4.940 Å, 82.80 82.80 33.38°
Fractional positions:
Zn (0.250, 0.250, 0.258)
Al (0.000, 0.000, 0.997)
Al (0.749, 0.749, 0.749)
Li (0.501, 0.501, 0.495)

***

No. 10
LiAlZn4 | PBE | relaxed

The energy relative to the lowest polymorph listed for this composition is 0 meV per atom.

Cell: 3.859 4.846 6.231 Å, 105.88 71.96 66.54°
Fractional positions:
Li (0.000, 0.000, 0.000)
Al (0.500, 0.500, 0.500)
Zn (0.827, 0.509, 0.836)
Zn (0.338, 0.994, 0.330)
Zn (0.173, 0.491, 0.164)
Zn (0.662, 0.006, 0.670)

***

No. 11
Li2Al9Zn | PBE | relaxed

Cell: 4.080 4.080 11.753 Å, 90.00 90.00 90.00°
Fractional positions:
Li (0.000, 0.000, 0.335)
Li (0.000, 0.000, 0.665)
Al (0.500, 0.500, 0.000)
Al (0.500, 0.500, 0.331)
Al (0.500, 0.500, 0.669)
Al (0.500, 0.000, 0.167)
Al (0.500, 0.000, 0.500)
Al (0.500, 0.000, 0.833)
Al (0.000, 0.500, 0.167)
Al (0.000, 0.500, 0.500)
Al (0.000, 0.500, 0.833)
Zn (0.000, 0.000, 0.000)

***

No. 12
LiAl2Zn2 | PBE | relaxed

The energy relative to the lowest polymorph listed for this composition is 15 meV per atom.

Cell: 4.486 4.758 7.744 Å, 90.00 106.84 90.00°
Fractional positions:
Li (0.350, 0.971, 0.699)
Li (0.650, 0.471, 0.301)
Al (0.953, 0.856, 0.906)
Al (0.848, 0.385, 0.696)
Al (0.152, 0.885, 0.304)
Al (0.047, 0.356, 0.094)
Zn (0.452, 0.506, 0.904)
Zn (0.751, 0.917, 0.502)
Zn (0.249, 0.417, 0.498)
Zn (0.548, 0.006, 0.096)

***

no.,formation energy (eV per atom),Fermi-level density of states (states/eV/atom)
1,-0.120,0.281
2,-0.139,0.263
3,-0.029,0.375
4,-0.041,0.181
5,-0.137,0.317
6,0.049,0.235
7,-0.133,0.286
8,-0.045,0.247
9,-0.075,0.240
10,-0.076,0.215
11,-0.031,0.557
12,-0.050,0.268